Compound: ZnOsIN2
Source: Alexandria via LeMat-Bulk
Functional: PBEsol
Structure: optimized geometry

```
ZnOsIN2
1.0
-3.439 -1.558 -0.009
1.545 -3.414 0.458
-0.312 0.656 5.947
I Zn Os N
1 1 1 2
direct
0.000 0.000 0.500 I
0.000 0.000 0.000 Zn
0.500 0.500 0.500 Os
0.000 0.500 0.000 N
0.500 0.000 0.000 N
```

Calculated values
- Energy relative to the elements, uncorrected: 2.277 eV/atom
- ρ: 8.0 g/cm³
- Energy: -4.25 eV per atom
- Calculated volume: 85 Å³/cell
- Magnetization: 3.65 μB/cell
- Space-group type: P4/mmm (123)



Compound: Pr2Al
Source: Alexandria via LeMat-Bulk
Functional: PBEsol
Structure: optimized geometry

```
Pr2Al
1.0
-1.858 -1.304 4.706
3.094 -5.885 -0.409
7.966 3.895 4.225
Pr Al
8 4
direct
0.250 0.308 0.579 Pr
0.750 0.692 0.421 Pr
0.250 0.808 0.921 Pr
0.750 0.192 0.079 Pr
0.250 0.477 0.203 Pr
0.750 0.523 0.797 Pr
0.250 0.977 0.297 Pr
0.750 0.023 0.703 Pr
0.250 0.791 0.601 Al
0.750 0.209 0.399 Al
0.250 0.291 0.899 Al
0.750 0.709 0.101 Al
```

Calculated values
- Formation enthalpy at 0 K: -0.229 eV/atom
- ρ: 6.0 g/cm³
- Energy: -5.05 eV per atom
- Calculated volume: 342 Å³/cell
- Magnetization: 0.00 μB/cell
- Space-group type: Pnma (62)



Compound: LiZnP2
Source: Alexandria via LeMat-Bulk
Functional: PBEsol
Structure: optimized geometry

```
LiZnP2
1.0
-0.526 -2.301 2.466
2.506 -1.937 -1.273
3.360 2.403 2.959
Li P Zn
1 2 1
direct
0.500 0.500 0.500 Li
0.000 0.000 0.708 P
0.000 0.000 0.292 P
0.500 0.500 0.000 Zn
```

Calculated values
- Formation enthalpy at 0 K: -0.074 eV/atom
- ρ: 3.8 g/cm³
- Energy: -3.86 eV per atom
- Calculated volume: 59 Å³/cell
- Magnetization: 0.00 μB/cell
- Space-group type: P4/mmm (123)



Compound: FeHgS2N
Source: Alexandria via LeMat-Bulk
Functional: PBEsol
Structure: optimized geometry

```
FeHgS2N
1.0
-0.181 -3.189 1.100
4.580 0.100 1.040
-1.014 1.547 4.318
S N Hg Fe
2 1 1 1
direct
0.000 0.000 0.500 S
0.000 0.500 0.000 S
0.500 0.000 0.000 N
0.500 0.500 0.500 Hg
0.000 0.000 0.000 Fe
```

Calculated values
- Energy relative to the elements, uncorrected: 0.287 eV/atom
- ρ: 7.5 g/cm³
- Energy: -5.08 eV per atom
- Calculated volume: 75 Å³/cell
- Magnetization: 0.01 μB/cell
- Space-group type: P4/mmm (123)



Compound: Re2Se
Source: Alexandria via LeMat-Bulk
Functional: PBEsol
Structure: optimized geometry

```
Re2Se
1.0
3.016 0.000 0.000
0.000 3.016 0.000
-1.508 -1.508 10.277
Re Se
4 2
direct
0.826 0.326 0.652 Re
0.424 0.424 0.848 Re
0.674 0.174 0.348 Re
0.576 0.576 0.152 Re
0.250 0.750 0.500 Se
0.000 0.000 0.000 Se
```

Calculated values
- Energy relative to the elements, uncorrected: 0.747 eV/atom
- ρ: 16.0 g/cm³
- Energy: -9.42 eV per atom
- Calculated volume: 93 Å³/cell
- Magnetization: 0.00 μB/cell
- Space-group type: I4_1/amd (141)



Compound: LaCrHg2
Source: Alexandria via LeMat-Bulk
Functional: PBEsol
Structure: optimized geometry

```
LaCrHg2
1.0
3.514 0.000 0.000
0.000 4.383 0.000
-1.757 -2.191 6.245
Cr Hg La
1 2 1
direct
0.258 0.758 0.517 Cr
0.931 0.931 0.861 Hg
0.758 0.258 0.517 Hg
0.553 0.553 0.105 La
```

Calculated values
- Formation enthalpy at 0 K: 0.125 eV/atom
- ρ: 10.2 g/cm³
- Energy: -4.06 eV per atom
- Calculated volume: 96 Å³/cell
- Magnetization: 3.46 μB/cell
- Space-group type: Imm2 (44)



Compound: MgNb2N
Source: Alexandria via LeMat-Bulk
Functional: PBEsol
Structure: optimized geometry

```
MgNb2N
1.0
-2.123 -2.088 -3.158
-1.572 -3.984 0.708
-4.285 -0.620 0.307
Nb Mg N
2 1 1
direct
0.250 0.250 0.250 Nb
0.750 0.750 0.750 Nb
0.500 0.500 0.500 Mg
0.000 0.000 0.000 N
```

Calculated values
- Energy relative to the elements, uncorrected: 1.132 eV/atom
- ρ: 6.4 g/cm³
- Energy: -6.84 eV per atom
- Calculated volume: 58 Å³/cell
- Magnetization: 0.00 μB/cell
- Space-group type: Fm-3m (225)



Compound: TiFeCuF2
Source: Alexandria via LeMat-Bulk
Functional: PBEsol
Structure: optimized geometry

```
TiFeCuF2
1.0
3.769 0.000 0.000
0.000 3.769 0.000
0.000 0.000 5.090
F Fe Cu Ti
2 1 1 1
direct
0.000 0.500 0.000 F
0.500 0.000 0.000 F
0.000 0.000 0.000 Fe
0.000 0.000 0.500 Cu
0.500 0.500 0.500 Ti
```

Calculated values
- Energy relative to the elements, uncorrected: -0.415 eV/atom
- ρ: 4.7 g/cm³
- Energy: -5.51 eV per atom
- Calculated volume: 72 Å³/cell
- Magnetization: 4.78 μB/cell
- Space-group type: P4/mmm (123)



Compound: Sr2AlSi
Source: Alexandria via LeMat-Bulk
Functional: PBEsol
Structure: optimized geometry

```
Sr2AlSi
1.0
-4.359 2.680 -4.263
1.495 -0.021 -6.743
-4.906 -4.030 -2.719
Sr Si Al
4 2 2
direct
0.647 0.978 0.478 Sr
0.103 0.022 0.522 Sr
0.375 0.522 0.978 Sr
0.875 0.478 0.022 Sr
0.000 0.000 0.000 Si
0.750 0.500 0.500 Si
0.500 0.000 0.000 Al
0.250 0.500 0.500 Al
```

Calculated values
- Energy relative to the elements, uncorrected: 0.252 eV/atom
- ρ: 3.1 g/cm³
- Energy: -3.13 eV per atom
- Calculated volume: 244 Å³/cell
- Magnetization: 0.00 μB/cell
- Space-group type: I-42d (122)



Compound: K2YInCl6
Source: Alexandria via LeMat-Bulk
Functional: PBEsol
Structure: optimized geometry

```
K2YInCl6
1.0
-1.852 4.362 6.250
-7.213 -0.391 3.057
-1.125 -3.415 6.971
K Y In Cl
2 1 1 6
direct
0.750 0.750 0.750 K
0.250 0.250 0.250 K
0.000 0.000 0.000 Y
0.500 0.500 0.500 In
0.766 0.234 0.234 Cl
0.766 0.766 0.234 Cl
0.234 0.766 0.766 Cl
0.766 0.234 0.766 Cl
0.234 0.766 0.234 Cl
0.234 0.234 0.766 Cl
```

Calculated values
- Energy relative to the elements, uncorrected: -1.780 eV/atom
- ρ: 2.4 g/cm³
- Energy: -4.19 eV per atom
- Calculated volume: 341 Å³/cell
- Magnetization: 0.00 μB/cell
- Space-group type: Fm-3m (225)



Compound: MgCo4O8
Source: Alexandria via LeMat-Bulk
Functional: PBEsol
Structure: optimized geometry

```
MgCo4O8
1.0
-1.225 4.281 -3.486
-3.969 -0.639 -3.977
-4.941 2.709 0.476
Mg Co O
1 4 8
direct
0.750 0.750 0.750 Mg
0.880 0.373 0.373 Co
0.373 0.373 0.373 Co
0.373 0.880 0.373 Co
0.373 0.373 0.880 Co
0.573 0.142 0.142 O
0.142 0.142 0.142 O
0.142 0.573 0.142 O
0.142 0.142 0.573 O
0.169 0.610 0.610 O
0.610 0.610 0.610 O
0.610 0.169 0.610 O
0.610 0.610 0.169 O
```

Calculated values
- Energy relative to the elements, uncorrected: -1.285 eV/atom
- ρ: 5.0 g/cm³
- Energy: -7.03 eV per atom
- Calculated volume: 128 Å³/cell
- Magnetization: 2.10 μB/cell
- Space-group type: F-43m (216)



Compound: Mn2Co
Source: Alexandria via LeMat-Bulk
Functional: PBEsol
Structure: optimized geometry

```
Mn2Co
1.0
-2.412 -0.108 -0.085
0.161 -0.623 -3.774
0.047 -2.956 2.432
Co Mn
1 2
direct
0.000 0.000 0.000 Co
0.500 0.333 0.667 Mn
0.500 0.667 0.333 Mn
```

Calculated values
- Formation enthalpy at 0 K: 0.104 eV/atom
- ρ: 9.1 g/cm³
- Energy: -8.98 eV per atom
- Calculated volume: 31 Å³/cell
- Magnetization: 0.00 μB/cell
- Space-group type: P6/mmm (191)